(1)
{
  "formula": "ZrMn11B",
  "functional": "PBE",
  "state": "relaxed",
  "formation_enthalpy_0k_ev_per_atom": -0.087,
  "crystal_system": "monoclinic",
  "spacegroup": "No. 12",
  "cell": [[-3.021, -1.393, 2.987], [-5.514, -0.812, -2.737], [-0.158, -6.059, 0.360]],
  "species": ["B", "Mn", "Mn", "Mn", "Mn", "Mn", "Mn", "Mn", "Mn", "Mn", "Mn", "Mn", "Zr"],
  "fractional_positions": [[0.500, 0.500, 0.000], [0.984, 0.362, 0.646], [0.000, 0.500, 0.000], [0.369, 0.638, 0.646], [0.293, 0.228, 0.214], [0.500, 0.000, 0.500], [0.000, 0.000, 0.500], [0.016, 0.638, 0.354], [0.507, 0.228, 0.786], [0.631, 0.362, 0.354], [0.707, 0.772, 0.786], [0.493, 0.772, 0.214], [0.000, 0.000, 0.000]]
}

=====

(2)
{
  "formula": "NiMoP",
  "functional": "PBE",
  "state": "relaxed",
  "formation_enthalpy_0k_ev_per_atom": -0.531,
  "crystal_system": "monoclinic",
  "spacegroup": "No. 11",
  "cell": [[-0.422, -3.545, -1.089], [2.836, 1.193, -4.984], [8.899, -2.435, 4.478]],
  "species": ["Mo", "Mo", "Mo", "Mo", "Mo", "Mo", "P", "P", "P", "P", "P", "P", "Ni", "Ni", "Ni", "Ni", "Ni", "Ni"],
  "fractional_positions": [[0.750, 0.024, 0.285], [0.250, 0.358, 0.912], [0.750, 0.526, 0.379], [0.250, 0.976, 0.715], [0.750, 0.642, 0.088], [0.250, 0.474, 0.621], [0.750, 0.238, 0.087], [0.750, 0.267, 0.751], [0.750, 0.759, 0.580], [0.250, 0.762, 0.913], [0.250, 0.241, 0.420], [0.250, 0.733, 0.249], [0.250, 0.857, 0.456], [0.750, 0.014, 0.914], [0.250, 0.986, 0.086], [0.750, 0.640, 0.793], [0.250, 0.360, 0.207], [0.750, 0.143, 0.544]]
}

=====

(3)
{
  "formula": "AcSm6Y2Ho",
  "functional": "PBE",
  "state": "relaxed",
  "formation_enthalpy_0k_ev_per_atom": 0.126,
  "crystal_system": "monoclinic",
  "spacegroup": "No. 15",
  "cell": [[9.184, -2.008, -2.084], [1.041, 8.713, -1.984], [1.041, -2.306, 8.634]],
  "species": ["Sm", "Sm", "Sm", "Sm", "Sm", "Sm", "Sm", "Sm", "Sm", "Sm", "Sm", "Sm", "Ho", "Ho", "Y", "Y", "Y", "Y", "Ac", "Ac"],
  "fractional_positions": [[0.182, 0.551, 0.006], [0.557, 0.756, 0.121], [0.682, 0.006, 0.551], [0.318, 0.994, 0.449], [0.057, 0.121, 0.756], [0.116, 0.710, 0.481], [0.384, 0.519, 0.290], [0.443, 0.244, 0.879], [0.818, 0.449, 0.994], [0.884, 0.290, 0.519], [0.943, 0.879, 0.244], [0.616, 0.481, 0.710], [0.750, 0.588, 0.412], [0.250, 0.412, 0.588], [0.449, 0.792, 0.688], [0.551, 0.208, 0.312], [0.051, 0.312, 0.208], [0.949, 0.688, 0.792], [0.250, 0.966, 0.034], [0.750, 0.034, 0.966]]
}